(1)
Density functional theory data (GGA-PBE) for an optimized crystal structure of Rb2Tl12Pt7.

Cell: 4.543 11.693 11.693 Å, 120.00 90.00 90.00°
Fractional positions:
Tl1 0.000 0.250 0.038
Tl2 0.000 0.788 0.750
Tl3 0.500 0.892 0.603
Tl4 0.000 0.052 0.528
Tl5 0.500 0.397 0.289
Tl6 0.500 0.551 0.770
Tl7 0.500 0.219 0.449
Tl8 0.500 0.230 0.781
Tl9 0.000 0.472 0.525
Tl10 0.000 0.475 0.948
Tl11 0.500 0.711 0.108
Tl12 0.000 0.962 0.212
Pt1 0.000 0.045 0.766
Pt2 0.500 0.423 0.061
Pt3 0.500 0.638 0.577
Pt4 0.000 0.721 0.955
Pt5 0.000 0.234 0.279
Pt6 0.000 0.333 0.667
Pt7 0.500 0.939 0.362
Rb1 0.500 0.000 0.000
Rb2 0.000 0.667 0.333

Output
Electronic total energy: -0.2610 Ry per atom
Volume: 25.62 A^3/atom
ΔE_f: -0.09 eV per atom

---

(2)
Density functional theory data (GGA-PBE) for an optimized crystal structure of Sm3PaIn3Se8.

Cell: 8.439 8.438 9.166 Å, 117.42 90.00 120.00°
Each line ends with the local moment (μB).
Fractional positions:
Se1 0.745 0.977 0.708  -0.01
Se2 0.768 0.537 0.292  -0.01
Se3 0.232 0.977 0.708  -0.01
Se4 0.737 0.475 0.712  0.00
Se5 0.263 0.525 0.288  0.00
Se6 0.232 0.463 0.708  -0.01
Se7 0.768 0.023 0.292  -0.01
Se8 0.255 0.023 0.292  -0.01
In1 0.000 0.500 0.000  0.00
In2 0.000 0.000 0.000  0.00
In3 0.500 0.500 0.000  0.00
Sm1 0.500 0.000 0.500  0.02
Sm2 0.500 0.500 0.500  0.02
Sm3 0.000 0.500 0.500  0.02
Pa1 0.000 0.000 0.500  0.94

Output
Electronic total energy: -0.3887 Ry per atom
Volume: 31.91 A^3/atom
Energy relative to the elements, uncorrected: -1.305 eV/atom

---

(3)
Density functional theory data (GGA-PBE) for an optimized crystal structure of Ce2ErSc4.

Cell: 3.344 5.787 10.016 Å, 95.81 89.99 106.79°
Each line ends with the local moment (μB).
Fractional positions:
Ce1 0.719 0.437 0.854  0.30
Ce2 0.281 0.563 0.146  0.30
Sc1 0.857 0.713 0.430  0.01
Sc2 0.571 0.141 0.294  0.00
Sc3 0.429 0.859 0.706  0.00
Sc4 0.143 0.287 0.570  0.01
Er1 0.000 0.000 0.000  0.00

Output
Electronic total energy: -0.4330 Ry per atom
Volume: 26.36 A^3/atom
Offset from the most stable computed form: 0.00 eV per formula unit
ΔE_f: 0.07 eV per atom

---

(4)
Density functional theory data (GGA-PBE) for an optimized crystal structure of GeSbPb2.

Cell: 4.547 4.967 4.967 Å, 90.00 90.00 90.00°
Fractional positions:
Ge1 0.500 0.000 0.000
Sb1 0.500 0.500 0.500
Pb1 0.000 0.000 0.500
Pb2 0.000 0.500 0.000

Output
Electronic total energy: -0.2833 Ry per atom
Volume: 28.05 A^3/atom
Energy relative to the elements, uncorrected: 0.185 eV/atom
Offset from the most stable computed form: 0.00 eV per formula unit